Here is a relaxed CsBa2ZnIr crystal from Alexandria via LeMat-Bulk. Energies are from PBE.

Its crystal system is tetragonal. For the formation energy, the calculation gives 53 meV/atom.

The structure belongs to space group P4/mmm (No. 123); the cell edges are 6.165, 6.165 and 5.194 Å and the angles 90.00°, 90.00° and 90.00°. The inequivalent atoms are Cs at (0.000, 0.000, 0.000), Ba at (0.000, 0.500, 0.500), Zn at (0.500, 0.500, 0.000) and Ir at (0.500, 0.500, 0.500).

---

Here is a relaxed Tb7Er3Th crystal from Alexandria via LeMat-Bulk. Energies are from PBE.

Its crystal system is trigonal. The energy above the most stable polymorph in this dataset is 0.42 eV/f.u. For the formation energy, the calculation gives 190 meV/atom.

The structure belongs to space group P3m1 (No. 156); the cell edges are 7.0506, 7.0506 and 8.5983 Å and the angles 90.00°, 90.00° and 120.00°. The inequivalent atoms are Tb at (0.0000, 0.0000, 0.0000), Tb at (0.1653, 0.3307, 0.6644), Tb at (0.5032, 0.0063, 0.9954), Er at (0.3363, 0.1681, 0.3333) and Th at (0.6667, 0.3333, 0.6643).

---

Here is a relaxed P2AuS2 crystal from Alexandria via LeMat-Bulk. Energies are from PBE.

Its crystal system is tetragonal. The energy above the most stable polymorph in this dataset is 3.12 eV/f.u.

The structure belongs to space group I4/mmm (No. 139); the cell edges are 4.254, 4.254 and 10.412 Å and the angles 90.00°, 90.00° and 90.00°. The inequivalent atoms are P at (0.000, 0.000, 0.152), Au at (0.000, 0.000, 0.500) and S at (0.000, 0.500, 0.250).

---

Here is a relaxed ZrFeTc crystal from Alexandria via LeMat-Bulk. Energies are from PBE.

Its crystal system is orthorhombic. The energy above the most stable polymorph in this dataset is 0.48 eV/f.u. For the formation energy, the calculation gives -112 meV/atom.

The structure belongs to space group Cmcm (No. 63); the cell edges are 3.258, 13.402 and 4.402 Å and the angles 90.00°, 90.00° and 90.00°. The inequivalent atoms are Zr at (0.000, 0.089, 0.250), Fe at (0.000, 0.242, 0.750) and Tc at (0.000, 0.407, 0.250).

---

Here is a relaxed Fe2AgTe crystal from Alexandria via LeMat-Bulk. Energies are from PBE.

The uncorrected energy comes out at -5.3122 eV/atom. Its crystal system is orthorhombic.

The structure belongs to space group Imm2 (No. 44); the cell edges are 3.464, 4.339 and 8.864 Å and the angles 90.00°, 90.00° and 90.00°. The inequivalent atoms are Fe at (0.000, 0.000, 0.000), Fe at (0.000, 0.500, 0.301), Ag at (0.000, 0.000, 0.531) and Te at (0.000, 0.500, 0.754).

---

Here is a relaxed IrBr5 crystal from Alexandria via LeMat-Bulk. Energies are from PBE.

Its crystal system is tetragonal. The energy above the most stable polymorph in this dataset is 2.23 eV/f.u.

The structure belongs to space group P4/mmm (No. 123); the cell edges are 3.105, 3.105 and 18.416 Å and the angles 90.00°, 90.00° and 90.00°. The inequivalent atoms are Ir at (0.000, 0.000, 0.000), Br at (0.000, 0.000, 0.279), Br at (0.500, 0.500, 0.090) and Br at (0.500, 0.500, 0.500).

---

Here is a relaxed Tb2DyHoRh4 crystal from Alexandria via LeMat-Bulk. Energies are from PBE.

Its crystal system is trigonal. For the formation energy, the calculation gives -873 meV/atom.

The structure belongs to space group R-3m (No. 166, hexagonal axes); the cell edges are 4.8465, 4.8465 and 23.7886 Å and the angles 90.00°, 90.00° and 120.00°. The inequivalent atoms are Tb at (0.0000, 0.0000, 0.2499), Dy at (0.0000, 0.0000, 0.0000), Ho at (0.0000, 0.0000, 0.5000), Rh at (0.0000, 0.0000, 0.1252) and Rh at (0.0000, 0.0000, 0.3752).

---

Here is a relaxed TmAlZn4 crystal from Alexandria via LeMat-Bulk. Energies are from PBE.

Its crystal system is cubic. The energy above the most stable polymorph in this dataset is 0.00 eV/f.u. For the formation energy, the calculation gives -128 meV/atom.

The structure belongs to space group F-43m (No. 216); the cell edges are 7.489, 7.489 and 7.489 Å and the angles 90.00°, 90.00° and 90.00°. The inequivalent atoms are Tm at (0.000, 0.000, 0.000), Al at (0.250, 0.250, 0.250) and Zn at (0.125, 0.125, 0.625).